[1]
A relaxed K3LiTh2O6 crystal. Source: Alexandria via LeMat-Bulk, functional GGA-PBE.

E_form (uncorrected): -2605 meV per atom
DOS(E_F): 0.00 states/eV per atom
mass density: 5.323 Mg/m³
volume: 17.79 Å³/atom

a b c (Å): 6.2733 6.2733 6.5978
angles (deg): 98.87 98.87 120.18
Last column: nearest neighbours and their distance in Å.
Fractional positions:
K (0.0000, 0.0000, 0.0000)  6 O 2.73-2.92
K (0.3453, 0.6547, 0.0000)  6 O 2.79-2.90
K (0.6547, 0.3453, 0.0000)  6 O 2.79-2.90
Li (0.5000, 0.5000, 0.5000)  6 O 2.53-2.59
Th (0.1671, 0.8329, 0.5000)  6 O 2.34-2.35
Th (0.8329, 0.1671, 0.5000)  6 O 2.34-2.35
O (0.0732, 0.4362, 0.3052)  2 Th 2.34, 1 Li 2.59
O (0.2054, 0.2054, 0.6898)  2 Th 2.35, 1 Li 2.53
O (0.4362, 0.0732, 0.3052)  2 Th 2.34, 1 Li 2.59
O (0.5638, 0.9268, 0.6948)  2 Th 2.34, 1 Li 2.59
O (0.7946, 0.7946, 0.3102)  2 Th 2.35, 1 Li 2.53
O (0.9268, 0.5638, 0.6948)  2 Th 2.34, 1 Li 2.59

=====

[2]
A relaxed TiAg2F7 crystal. Source: Alexandria via LeMat-Bulk, functional GGA-PBE.

E_form (uncorrected): -2210 meV per atom
DOS(E_F): 0.27 states/eV per atom
mass density: 3.906 Mg/m³
volume: 16.86 Å³/atom

a b c (Å): 6.7124 6.7124 10.1688
angles (deg): 117.42 117.42 60.45
Last column: nearest neighbours and their distance in Å.
Fractional positions:
Ti (0.2021, 0.7979, 0.7500)  6 F 1.84-2.06
Ti (0.7979, 0.2021, 0.2500)  6 F 1.84-2.06
Ag (0.0949, 0.5796, 0.2712)  4 F 2.16-2.32
Ag (0.4204, 0.9051, 0.2288)  4 F 2.16-2.32
Ag (0.5796, 0.0949, 0.7712)  4 F 2.16-2.32
Ag (0.9051, 0.4204, 0.7288)  4 F 2.16-2.32
F (0.0736, 0.7487, 0.5386)  1 Ti 1.84
F (0.0895, 0.2515, 0.2674)  1 Ti 2.06, 1 Ag 2.20
F (0.1418, 0.8582, 0.2500)  2 Ag 2.16, 1 Ti 2.32, 2 F 2.42
F (0.2513, 0.9264, 0.9614)  1 Ti 1.84
F (0.2515, 0.0895, 0.7674)  1 Ti 2.06, 1 Ag 2.20
F (0.3178, 0.4761, 0.7535)  1 Ti 1.91
F (0.4761, 0.3178, 0.2535)  1 Ti 1.91
F (0.5239, 0.6822, 0.7465)  1 Ti 1.91
F (0.6822, 0.5239, 0.2465)  1 Ti 1.91
F (0.7485, 0.9105, 0.2326)  1 Ti 2.06, 1 Ag 2.20
F (0.7487, 0.0736, 0.0386)  1 Ti 1.84
F (0.8582, 0.1418, 0.7500)  2 Ag 2.16, 1 Ti 2.32, 2 F 2.42
F (0.9105, 0.7485, 0.7326)  1 Ti 2.06, 1 Ag 2.20
F (0.9264, 0.2513, 0.4614)  1 Ti 1.84